The following is a DFT calculation (PBE-GGA) of a relaxed YTcAs crystal.

Output
raw total energy = -7.444 eV per atom
energy of formation from the pure elements = -284 meV/atom
magnetic moment = 0.000 μB per atom

CIF file:
```
data_YTcAs
_chemical_formula_sum 'Y1 Tc1 As1'
_cell_length_a 3.652
_cell_length_b 3.652
_cell_length_c 5.482
_cell_angle_alpha 90.00
_cell_angle_beta 90.00
_cell_angle_gamma 120.00
_space_group_name_H-M_alt 'P 1'
_space_group_IT_number 1
_space_group_name_Hall 'P 1'
loop_
_atom_site_label
_atom_site_type_symbol
_atom_site_fract_x
_atom_site_fract_y
_atom_site_fract_z
Y1 Y 0.333 0.667 0.689
Tc1 Tc 0.667 0.333 0.268
As1 As 0.000 0.000 0.043
```